Record 1
VASP calculation (GGA-PBE) on an optimized crystal structure of MgNi3H.

## Properties
Relative energy among the computed polymorphs = 20.68 kJ/mol of atoms

CIF file:
```
data_MgNi3H
_chemical_formula_sum 'Mg4 Ni12 H4'
_cell_length_a 4.7766
_cell_length_b 6.3565
_cell_length_c 7.2109
_cell_angle_alpha 90.00
_cell_angle_beta 90.00
_cell_angle_gamma 90.00
_symmetry_space_group_name_H-M 'I m m a'
_symmetry_Int_Tables_number 74
_symmetry_space_group_name_Hall '-I 2b 2'
loop_
_atom_site_label
_atom_site_type_symbol
_atom_site_fract_x
_atom_site_fract_y
_atom_site_fract_z
Mg1 Mg 0.0000 0.0000 0.0000
Ni1 Ni 0.0000 0.0716 0.3480
Ni2 Ni 0.2500 0.2500 0.7500
H1 H 0.0000 0.2500 0.5682
```

---

Record 2
VASP calculation (GGA-PBE) on an optimized crystal structure of SrBiP2S8.

## Properties
DFT total energy = -4.59 eV per atom

CIF file:
```
data_SrBiP2S8
_chemical_formula_sum 'Sr1 Bi1 P2 S8'
_cell_length_a 6.0659
_cell_length_b 6.0659
_cell_length_c 9.2504
_cell_angle_alpha 90.00
_cell_angle_beta 90.00
_cell_angle_gamma 120.00
_symmetry_space_group_name_H-M 'P -3'
_symmetry_Int_Tables_number 147
_symmetry_space_group_name_Hall '-P 3'
loop_
_atom_site_label
_atom_site_type_symbol
_atom_site_fract_x
_atom_site_fract_y
_atom_site_fract_z
Sr1 Sr 0.0000 0.0000 0.0000
Bi1 Bi 0.0000 0.0000 0.5000
P1 P 0.3333 0.6667 0.7619
S1 S 0.0016 0.3418 0.7038
S2 S 0.3333 0.6667 0.9804
```

---

Record 3
VASP calculation (GGA-PBE) on an optimized crystal structure of Mg2TlSi2.

## Properties
Relative energy among the computed polymorphs = 0.00 kJ/mol of atoms

CIF file:
```
data_Mg2TlSi2
_chemical_formula_sum 'Mg4 Tl2 Si4'
_cell_length_a 4.6140
_cell_length_b 4.6140
_cell_length_c 10.6661
_cell_angle_alpha 90.00
_cell_angle_beta 90.00
_cell_angle_gamma 90.00
_symmetry_space_group_name_H-M 'I 4/m m m'
_symmetry_Int_Tables_number 139
_symmetry_space_group_name_Hall '-I 4 2'
loop_
_atom_site_label
_atom_site_type_symbol
_atom_site_fract_x
_atom_site_fract_y
_atom_site_fract_z
Mg1 Mg 0.0000 0.5000 0.2500
Tl1 Tl 0.0000 0.0000 0.0000
Si1 Si 0.0000 0.0000 0.3923
```

---

Record 4
VASP calculation (GGA-PBE) on an optimized crystal structure of TaRuW2.

## Properties
ΔH_f (0 K) = 0.081 eV/atom
Relative energy among the computed polymorphs = 15.20 kJ/mol of atoms

CIF file:
```
data_TaRuW2
_chemical_formula_sum 'Ta1 Ru1 W2'
_cell_length_a 3.1851
_cell_length_b 3.1851
_cell_length_c 6.3613
_cell_angle_alpha 90.00
_cell_angle_beta 90.00
_cell_angle_gamma 90.00
_symmetry_space_group_name_H-M 'P 4/m m m'
_symmetry_Int_Tables_number 123
_symmetry_space_group_name_Hall '-P 4 2'
loop_
_atom_site_label
_atom_site_type_symbol
_atom_site_fract_x
_atom_site_fract_y
_atom_site_fract_z
Ta1 Ta 0.0000 0.0000 0.0000
Ru1 Ru 0.0000 0.0000 0.5000
W1 W 0.5000 0.5000 0.2516
```

---

Record 5
VASP calculation (GGA-PBE) on an optimized crystal structure of LaTcRh.

## Properties
ΔH_f (0 K) = 0.314 eV/atom
Relative energy among the computed polymorphs = 22.17 kJ/mol of atoms

CIF file:
```
data_LaTcRh
_chemical_formula_sum 'La1 Tc1 Rh1'
_cell_length_a 4.6766
_cell_length_b 4.6766
_cell_length_c 2.9557
_cell_angle_alpha 90.00
_cell_angle_beta 90.00
_cell_angle_gamma 120.00
_symmetry_space_group_name_H-M 'P 3 m 1'
_symmetry_Int_Tables_number 156
_symmetry_space_group_name_Hall 'P 3 -2"'
loop_
_atom_site_label
_atom_site_type_symbol
_atom_site_fract_x
_atom_site_fract_y
_atom_site_fract_z
La1 La 0.0000 0.0000 0.0000
Tc1 Tc 0.6667 0.3333 0.7761
Rh1 Rh 0.3333 0.6667 0.3237
```

---

Record 6
VASP calculation (GGA-PBE) on an optimized crystal structure of Ni2HRhAu.

## Properties
Relative energy among the computed polymorphs = 16.40 kJ/mol of atoms

CIF file:
```
data_Ni2HRhAu
_chemical_formula_sum 'Ni2 H1 Rh1 Au1'
_cell_length_a 3.8338
_cell_length_b 3.8338
_cell_length_c 3.8898
_cell_angle_alpha 90.00
_cell_angle_beta 90.00
_cell_angle_gamma 90.00
_symmetry_space_group_name_H-M 'P 4/m m m'
_symmetry_Int_Tables_number 123
_symmetry_space_group_name_Hall '-P 4 2'
loop_
_atom_site_label
_atom_site_type_symbol
_atom_site_fract_x
_atom_site_fract_y
_atom_site_fract_z
Ni1 Ni 0.0000 0.5000 0.0000
H1 H 0.0000 0.0000 0.0000
Rh1 Rh 0.5000 0.5000 0.5000
Au1 Au 0.0000 0.0000 0.5000
```

---

Record 7
VASP calculation (GGA-PBE) on an optimized crystal structure of SbTe2PbI.

## Properties
Relative energy among the computed polymorphs = 36.32 kJ/mol of atoms

CIF file:
```
data_SbTe2PbI
_chemical_formula_sum 'Sb1 Te2 Pb1 I1'
_cell_length_a 5.9522
_cell_length_b 5.9522
_cell_length_c 5.9326
_cell_angle_alpha 90.00
_cell_angle_beta 90.00
_cell_angle_gamma 90.00
_symmetry_space_group_name_H-M 'P 4/m m m'
_symmetry_Int_Tables_number 123
_symmetry_space_group_name_Hall '-P 4 2'
loop_
_atom_site_label
_atom_site_type_symbol
_atom_site_fract_x
_atom_site_fract_y
_atom_site_fract_z
Sb1 Sb 0.0000 0.0000 0.0000
Te1 Te 0.0000 0.5000 0.5000
Pb1 Pb 0.5000 0.5000 0.5000
I1 I 0.5000 0.5000 0.0000
```

---

Record 8
VASP calculation (GGA-PBE) on an optimized crystal structure of La5Dy2Ho3.

## Properties
ΔH_f (0 K) = 0.161 eV/atom

CIF file:
```
data_La5Dy2Ho3
_chemical_formula_sum 'La20 Dy8 Ho12'
_cell_length_a 10.8801
_cell_length_b 14.8645
_cell_length_c 10.1823
_cell_angle_alpha 90.00
_cell_angle_beta 122.21
_cell_angle_gamma 90.00
_symmetry_space_group_name_H-M 'C 1 2/c 1'
_symmetry_Int_Tables_number 15
_symmetry_space_group_name_Hall '-C 2yc'
loop_
_atom_site_label
_atom_site_type_symbol
_atom_site_fract_x
_atom_site_fract_y
_atom_site_fract_z
La1 La 0.0000 0.0172 0.2500
La2 La 0.0000 0.2262 0.2500
La3 La 0.0000 0.4756 0.7500
La4 La 0.2480 0.3694 0.2447
Dy1 Dy 0.1559 0.1298 0.0620
Ho1 Ho 0.0000 0.2692 0.7500
Ho2 Ho 0.1533 0.3738 0.5583
```

---

Record 9
VASP calculation (GGA-PBE) on an optimized crystal structure of MnSi2Cl2.

## Properties
Relative energy among the computed polymorphs = 0.00 kJ/mol of atoms

CIF file:
```
data_MnSi2Cl2
_chemical_formula_sum 'Mn2 Si4 Cl4'
_cell_length_a 3.2639
_cell_length_b 3.2639
_cell_length_c 21.6094
_cell_angle_alpha 90.00
_cell_angle_beta 90.00
_cell_angle_gamma 90.00
_symmetry_space_group_name_H-M 'I 4/m m m'
_symmetry_Int_Tables_number 139
_symmetry_space_group_name_Hall '-I 4 2'
loop_
_atom_site_label
_atom_site_type_symbol
_atom_site_fract_x
_atom_site_fract_y
_atom_site_fract_z
Mn1 Mn 0.0000 0.0000 0.0000
Si1 Si 0.0000 0.5000 0.2500
Cl1 Cl 0.0000 0.0000 0.4335
```

---

Record 10
VASP calculation (GGA-PBE) on an optimized crystal structure of CsTmO2.

## Properties
DFT total energy = -6.47 eV per atom

CIF file:
```
data_CsTmO2
_chemical_formula_sum 'Cs2 Tm2 O4'
_cell_length_a 3.5039
_cell_length_b 3.5039
_cell_length_c 13.6874
_cell_angle_alpha 90.00
_cell_angle_beta 90.00
_cell_angle_gamma 120.00
_symmetry_space_group_name_H-M 'P 63/m m c'
_symmetry_Int_Tables_number 194
_symmetry_space_group_name_Hall '-P 6c 2c'
loop_
_atom_site_label
_atom_site_type_symbol
_atom_site_fract_x
_atom_site_fract_y
_atom_site_fract_z
Cs1 Cs 0.3333 0.6667 0.2500
Tm1 Tm 0.0000 0.0000 0.0000
O1 O 0.3333 0.6667 0.5811
```

---

Record 11
VASP calculation (GGA-PBE) on an optimized crystal structure of RbSr3Br.

## Properties
Relative energy among the computed polymorphs = 0.00 kJ/mol of atoms

CIF file:
```
data_RbSr3Br
_chemical_formula_sum 'Rb1 Sr3 Br1'
_cell_length_a 6.5600
_cell_length_b 6.5600
_cell_length_c 6.5600
_cell_angle_alpha 90.00
_cell_angle_beta 90.00
_cell_angle_gamma 90.00
_symmetry_space_group_name_H-M 'P m -3 m'
_symmetry_Int_Tables_number 221
_symmetry_space_group_name_Hall '-P 4 2 3'
loop_
_atom_site_label
_atom_site_type_symbol
_atom_site_fract_x
_atom_site_fract_y
_atom_site_fract_z
Rb1 Rb 0.0000 0.0000 0.0000
Sr1 Sr 0.0000 0.5000 0.5000
Br1 Br 0.5000 0.5000 0.5000
```

---

Record 12
VASP calculation (GGA-PBE) on an optimized crystal structure of DyTc6.

## Properties
ΔH_f (0 K) = 0.869 eV/atom
Relative energy among the computed polymorphs = 83.11 kJ/mol of atoms

CIF file:
```
data_DyTc6
_chemical_formula_sum 'Dy2 Tc12'
_cell_length_a 6.7608
_cell_length_b 6.7608
_cell_length_c 6.7608
_cell_angle_alpha 90.00
_cell_angle_beta 90.00
_cell_angle_gamma 90.00
_symmetry_space_group_name_H-M 'I m -3 m'
_symmetry_Int_Tables_number 229
_symmetry_space_group_name_Hall '-I 4 2 3'
loop_
_atom_site_label
_atom_site_type_symbol
_atom_site_fract_x
_atom_site_fract_y
_atom_site_fract_z
Dy1 Dy 0.0000 0.0000 0.0000
Tc1 Tc 0.0000 0.2500 0.5000
```

---

Record 13
VASP calculation (GGA-PBE) on an optimized crystal structure of CsZnSbH2.

## Properties
Relative energy among the computed polymorphs = 0.73 kJ/mol of atoms

CIF file:
```
data_CsZnSbH2
_chemical_formula_sum 'Cs3 Zn3 Sb3 H6'
_cell_length_a 4.6595
_cell_length_b 4.6595
_cell_length_c 19.7204
_cell_angle_alpha 90.00
_cell_angle_beta 90.00
_cell_angle_gamma 120.00
_symmetry_space_group_name_H-M 'R 3 m'
_symmetry_Int_Tables_number 160
_symmetry_space_group_name_Hall 'R 3 -2"'
loop_
_atom_site_label
_atom_site_type_symbol
_atom_site_fract_x
_atom_site_fract_y
_atom_site_fract_z
Cs1 Cs 0.0000 0.0000 0.0000
Zn1 Zn 0.0000 0.0000 0.8053
Sb1 Sb 0.0000 0.0000 0.5017
H1 H 0.0000 0.0000 0.5905
H2 H 0.0000 0.0000 0.7211
```

---

Record 14
VASP calculation (GGA-PBE) on an optimized crystal structure of Mn2BePt.

## Properties
ΔH_f (0 K) = -0.126 eV/atom

CIF file:
```
data_Mn2BePt
_chemical_formula_sum 'Mn4 Be2 Pt2'
_cell_length_a 3.6806
_cell_length_b 3.6806
_cell_length_c 6.9771
_cell_angle_alpha 90.00
_cell_angle_beta 90.00
_cell_angle_gamma 90.00
_symmetry_space_group_name_H-M 'I -4 m 2'
_symmetry_Int_Tables_number 119
_symmetry_space_group_name_Hall 'I -4 -2'
loop_
_atom_site_label
_atom_site_type_symbol
_atom_site_fract_x
_atom_site_fract_y
_atom_site_fract_z
Mn1 Mn 0.0000 0.0000 0.0000
Mn2 Mn 0.0000 0.5000 0.2500
Be1 Be 0.0000 0.0000 0.5000
Pt1 Pt 0.0000 0.5000 0.7500
```

---

Record 15
VASP calculation (GGA-PBE) on an optimized crystal structure of BeOs2Au2.

## Properties
ΔH_f (0 K) = 1.111 eV/atom
Relative energy among the computed polymorphs = 53.94 kJ/mol of atoms

CIF file:
```
data_BeOs2Au2
_chemical_formula_sum 'Be2 Os4 Au4'
_cell_length_a 3.6732
_cell_length_b 3.6732
_cell_length_c 12.9774
_cell_angle_alpha 90.00
_cell_angle_beta 90.00
_cell_angle_gamma 90.00
_symmetry_space_group_name_H-M 'I 4/m m m'
_symmetry_Int_Tables_number 139
_symmetry_space_group_name_Hall '-I 4 2'
loop_
_atom_site_label
_atom_site_type_symbol
_atom_site_fract_x
_atom_site_fract_y
_atom_site_fract_z
Be1 Be 0.0000 0.0000 0.0000
Os1 Os 0.0000 0.0000 0.4125
Au1 Au 0.0000 0.5000 0.2500
```

---

Record 16
VASP calculation (GGA-PBE) on an optimized crystal structure of KBa2SrP.

## Properties
ΔH_f (0 K) = -0.429 eV/atom

CIF file:
```
data_KBa2SrP
_chemical_formula_sum 'K1 Ba2 Sr1 P1'
_cell_length_a 6.4899
_cell_length_b 6.4899
_cell_length_c 6.1311
_cell_angle_alpha 90.00
_cell_angle_beta 90.00
_cell_angle_gamma 90.00
_symmetry_space_group_name_H-M 'P 4/m m m'
_symmetry_Int_Tables_number 123
_symmetry_space_group_name_Hall '-P 4 2'
loop_
_atom_site_label
_atom_site_type_symbol
_atom_site_fract_x
_atom_site_fract_y
_atom_site_fract_z
K1 K 0.0000 0.0000 0.0000
Ba1 Ba 0.0000 0.5000 0.5000
Sr1 Sr 0.5000 0.5000 0.0000
P1 P 0.5000 0.5000 0.5000
```

---

Record 17
VASP calculation (GGA-PBE) on an optimized crystal structure of NiIr2Pb.

## Properties
ΔH_f (0 K) = 0.396 eV/atom

CIF file:
```
data_NiIr2Pb
_chemical_formula_sum 'Ni2 Ir4 Pb2'
_cell_length_a 8.6323
_cell_length_b 2.9467
_cell_length_c 5.3823
_cell_angle_alpha 90.00
_cell_angle_beta 100.39
_cell_angle_gamma 90.00
_symmetry_space_group_name_H-M 'C 1 m 1'
_symmetry_Int_Tables_number 8
_symmetry_space_group_name_Hall 'C -2y'
loop_
_atom_site_label
_atom_site_type_symbol
_atom_site_fract_x
_atom_site_fract_y
_atom_site_fract_z
Ni1 Ni 0.0000 0.0000 0.0000
Ir1 Ir 0.0134 0.5000 0.6074
Ir2 Ir 0.2580 0.0000 0.7987
Pb1 Pb 0.2542 0.5000 0.2789
```

---

Record 18
VASP calculation (GGA-PBE) on an optimized crystal structure of Rb2TcSeI6.

## Properties
DFT total energy = -2.98 eV per atom

CIF file:
```
data_Rb2TcSeI6
_chemical_formula_sum 'Rb4 Tc2 Se2 I12'
_cell_length_a 8.5720
_cell_length_b 8.5720
_cell_length_c 11.4237
_cell_angle_alpha 90.00
_cell_angle_beta 90.00
_cell_angle_gamma 90.00
_symmetry_space_group_name_H-M 'I 4/m m m'
_symmetry_Int_Tables_number 139
_symmetry_space_group_name_Hall '-I 4 2'
loop_
_atom_site_label
_atom_site_type_symbol
_atom_site_fract_x
_atom_site_fract_y
_atom_site_fract_z
Rb1 Rb 0.0000 0.5000 0.2500
Tc1 Tc 0.0000 0.0000 0.0000
Se1 Se 0.0000 0.0000 0.5000
I1 I 0.0000 0.0000 0.2483
I2 I 0.2293 0.2293 0.0000
```

---

Record 19
VASP calculation (GGA-PBE) on an optimized crystal structure of PuAsS3.

## Properties
DFT total energy = -7.09 eV per atom

CIF file:
```
data_PuAsS3
_chemical_formula_sum 'Pu2 As2 S6'
_cell_length_a 7.0685
_cell_length_b 4.0401
_cell_length_c 10.5221
_cell_angle_alpha 90.00
_cell_angle_beta 100.04
_cell_angle_gamma 90.00
_symmetry_space_group_name_H-M 'P 1 21/m 1'
_symmetry_Int_Tables_number 11
_symmetry_space_group_name_Hall '-P 2yb'
loop_
_atom_site_label
_atom_site_type_symbol
_atom_site_fract_x
_atom_site_fract_y
_atom_site_fract_z
Pu1 Pu 0.2389 0.2500 0.0857
As1 As 0.4226 0.2500 0.6576
S1 S 0.0167 0.7500 0.1352
S2 S 0.3957 0.2500 0.3582
S3 S 0.4815 0.2500 0.8805
```